First-principles (PBE-GGA) data for a relaxed Mg2CrIr crystal, as listed in Alexandria.

- Energy above the most stable polymorph in this dataset: 0.058 eV per atom
- Total magnetization: 3.96 μB per cell
- Final energy: -86.49 eV for the cell shown
- Density of states at the Fermi level: 0.78 states/eV/atom

Geometry as CIF:
```
data_Mg2CrIr
_chemical_formula_sum 'Mg8 Cr4 Ir4'
_space_group_name_H-M_alt 'F -4 3 m'
_space_group_IT_number 216
_space_group_name_Hall 'F -4 2 3'
_cell_length_a 6.2219
_cell_length_b 6.2219
_cell_length_c 6.2219
_cell_angle_alpha 90.00
_cell_angle_beta 90.00
_cell_angle_gamma 90.00
loop_
_atom_site_label
_atom_site_fract_x
_atom_site_fract_y
_atom_site_fract_z
Mg1 0.0000 0.0000 0.0000
Mg2 0.2500 0.2500 0.2500
Cr1 0.0000 0.0000 0.5000
Ir1 0.2500 0.2500 0.7500
```